Li2AcAlAg4 PBE-GGA relaxed; SG = R-3m (166); magnetization = 0.000 μB per formula unit
1.0
4.531 0.000 0.000
2.266 3.924 0.000
2.266 1.308 9.351
Al Ag Li Ac
1 4 2 1
Direct
0.500 0.500 0.500 Al
0.868 0.868 0.397 Ag
0.406 0.406 0.781 Ag
0.594 0.594 0.219 Ag
0.132 0.132 0.603 Ag
0.230 0.230 0.309 Li
0.770 0.770 0.691 Li
0.000 0.000 0.000 Ac

=====

LiAcAlAg3 PBE-GGA relaxed; SG = Cmcm (63); magnetization = 0.000 μB per formula unit
1.0
6.529 0.000 0.000
0.000 6.362 0.000
0.000 -3.181 6.312
Al Li Ac Ag
2 2 2 6
Direct
0.250 0.369 0.739 Al
0.750 0.631 0.261 Al
0.750 0.058 0.116 Li
0.250 0.942 0.884 Li
0.250 0.706 0.413 Ac
0.750 0.294 0.587 Ac
0.750 0.845 0.691 Ag
0.500 0.275 0.000 Ag
0.250 0.155 0.309 Ag
0.000 0.275 0.000 Ag
0.500 0.725 0.000 Ag
0.000 0.725 0.000 Ag

=====

LiAcAlAg PBE-GGA relaxed; SG = R3m (160); magnetization = 0.000 μB per formula unit; offset from the most stable computed form = 0 meV/atom
1.0
-2.392 3.602 1.713
-1.649 -4.320 0.466
4.440 1.197 3.684
Ac Li Al Ag
1 1 1 1
Direct
0.620 0.239 0.501 Ac
0.820 0.641 0.103 Li
0.109 0.218 0.969 Al
0.418 0.835 0.895 Ag

=====

Li4Ac2AlAg3 PBE-GGA relaxed; SG = P-4m2 (115); magnetization = 0.000 μB per formula unit
1.0
4.515 0.000 0.000
0.000 4.515 0.000
0.000 0.000 11.294
Li Ag Ac Al
4 3 2 1
Direct
0.000 0.000 0.000 Li
0.000 0.500 0.378 Li
0.500 0.000 0.622 Li
0.500 0.500 0.000 Li
0.000 0.500 0.139 Ag
0.000 0.000 0.500 Ag
0.500 0.000 0.861 Ag
0.500 0.000 0.265 Ac
0.000 0.500 0.735 Ac
0.500 0.500 0.500 Al

=====

LiAcAlAg PBE-GGA relaxed; SG = F-43m (216); magnetization = 0.000 μB per formula unit; offset from the most stable computed form = 56 meV/atom
1.0
5.106 0.000 0.000
2.553 4.422 0.000
2.553 1.474 4.169
Li Ac Ag Al
1 1 1 1
Direct
0.000 0.000 0.000 Li
0.750 0.750 0.750 Ac
0.500 0.500 0.500 Ag
0.250 0.250 0.250 Al

=====

LiAc2Al3Ag4 PBE-GGA relaxed; SG = P-4m2 (115); magnetization = 0.000 μB per formula unit
1.0
4.606 0.000 0.000
0.000 4.606 0.000
0.000 0.000 10.768
Ag Al Ac Li
4 3 2 1
Direct
0.000 0.500 0.374 Ag
0.000 0.000 0.000 Ag
0.500 0.500 0.000 Ag
0.500 0.000 0.626 Ag
0.000 0.000 0.500 Al
0.500 0.000 0.871 Al
0.000 0.500 0.129 Al
0.000 0.500 0.754 Ac
0.500 0.000 0.246 Ac
0.500 0.500 0.500 Li

=====

AcLuAlAg PBE-GGA relaxed; SG = F-43m (216); magnetization = 0.000 μB per formula unit
1.0
-3.487 -1.080 3.931
-0.212 -4.924 2.119
1.766 -0.849 4.994
Ac Al Lu Ag
1 1 1 1
Direct
0.000 0.000 0.000 Ac
0.750 0.750 0.750 Al
0.500 0.500 0.500 Lu
0.250 0.250 0.250 Ag

=====

Ac2Mg4AlAg3 PBE-GGA relaxed; SG = P-4m2 (115); magnetization = 0.000 μB per formula unit
1.0
4.730 0.000 0.000
0.000 4.730 0.000
0.000 0.000 11.401
Ag Mg Ac Al
3 4 2 1
Direct
0.000 0.500 0.134 Ag
0.000 0.000 0.500 Ag
0.500 0.000 0.866 Ag
0.500 0.000 0.627 Mg
0.500 0.500 0.000 Mg
0.000 0.000 0.000 Mg
0.000 0.500 0.373 Mg
0.500 0.000 0.266 Ac
0.000 0.500 0.734 Ac
0.500 0.500 0.500 Al

=====

Ac2Mg12AlAg3 PBE-GGA relaxed; SG = R-3m (166); magnetization = 0.000 μB per formula unit
1.0
-0.834 -4.402 13.024
-1.686 -9.759 9.571
4.255 -7.568 10.692
Mg Ag Ac Al
12 3 2 1
Direct
0.867 0.393 0.393 Mg
0.607 0.607 0.133 Mg
0.389 0.890 0.890 Mg
0.611 0.110 0.110 Mg
0.133 0.607 0.607 Mg
0.607 0.133 0.607 Mg
0.393 0.393 0.867 Mg
0.110 0.110 0.611 Mg
0.890 0.890 0.389 Mg
0.890 0.389 0.890 Mg
0.110 0.611 0.110 Mg
0.393 0.867 0.393 Mg
0.500 0.000 0.000 Ag
0.000 0.500 0.000 Ag
0.000 0.000 0.500 Ag
0.357 0.357 0.357 Ac
0.643 0.643 0.643 Ac
0.000 0.000 0.000 Al

=====

Ac2MgAl4Ag3 PBE-GGA relaxed; SG = P-4m2 (115); magnetization = 0.000 μB per formula unit
1.0
-4.457 -0.064 -0.931
-0.326 -4.151 1.842
-2.158 4.615 10.016
Al Ag Ac Mg
4 3 2 1
Direct
0.000 0.000 0.000 Al
0.500 0.500 0.000 Al
0.500 0.000 0.642 Al
0.000 0.500 0.358 Al
0.000 0.500 0.124 Ag
0.000 0.000 0.500 Ag
0.500 0.000 0.876 Ag
0.500 0.000 0.245 Ac
0.000 0.500 0.755 Ac
0.500 0.500 0.500 Mg

=====

AcMg2Al2Ag PBE-GGA relaxed; SG = I4/mmm (139); magnetization = 0.000 μB per formula unit
1.0
-4.179 2.345 -2.201
-0.438 -3.990 -3.420
-1.277 -2.021 6.587
Al Mg Ag Ac
2 2 1 1
Direct
0.794 0.794 0.588 Al
0.206 0.206 0.412 Al
0.750 0.250 0.500 Mg
0.250 0.750 0.500 Mg
0.000 0.000 0.000 Ag
0.500 0.500 0.000 Ac

=====

AcMgAl2Ag2 PBE-GGA relaxed; SG = P-3m1 (164); magnetization = 0.000 μB per formula unit
1.0
4.553 0.000 0.000
-2.277 3.943 0.000
0.000 0.000 7.650
Ag Mg Ac Al
2 1 1 2
Direct
0.333 0.667 0.678 Ag
0.667 0.333 0.322 Ag
0.000 0.000 0.500 Mg
0.000 0.000 0.000 Ac
0.667 0.333 0.704 Al
0.333 0.667 0.296 Al

=====

Number 1: DFT formation energy -201 meV per atom. Number 2: DFT formation energy -152 meV per atom. Number 3: DFT formation energy -233 meV per atom. Number 4: DFT formation energy -169 meV per atom. Number 5: DFT formation energy -177 meV per atom. Number 6: DFT formation energy -303 meV per atom. Number 7: DFT formation energy -223 meV per atom. Number 8: DFT formation energy -198 meV per atom. Number 9: DFT formation energy 86 meV per atom. Number 10: DFT formation energy -303 meV per atom. Number 11: DFT formation energy 163 meV per atom. Number 12: DFT formation energy -288 meV per atom.